1.
Entry from the Alexandria database: a geometry-optimized Tb4Pm2Er3 structure (PBE). Values from VASP.

```
&SYSTEM
  ibrav = 0, nat = 18, ntyp = 3
/
ATOMIC_SPECIES
Er 167.26 Er.upf
Tb 158.93 Tb.upf
Pm 145.00 Pm.upf
ATOMIC_POSITIONS crystal
Er 0.241 0.933 0.736
Er 0.259 0.264 0.067
Er 0.250 0.599 0.401
Er 0.741 0.736 0.933
Er 0.750 0.401 0.599
Er 0.759 0.067 0.264
Tb 0.420 0.906 0.188
Tb 0.580 0.094 0.812
Tb 0.083 0.145 0.424
Tb 0.917 0.855 0.576
Tb 0.080 0.812 0.094
Tb 0.583 0.424 0.145
Tb 0.417 0.576 0.855
Tb 0.920 0.188 0.906
Pm 0.421 0.235 0.523
Pm 0.579 0.765 0.477
Pm 0.921 0.523 0.235
Pm 0.079 0.477 0.765
CELL_PARAMETERS angstrom
-3.738 -1.806 -4.534
2.822 -9.186 -5.846
-6.129 -9.298 1.579
```

Values from the calculation:
- Crystal system: monoclinic
- Formation enthalpy at 0 K: 0.0913 eV per atom
- Fermi-level density of states: 24.92 states/eV per cell

2.
Entry from the Alexandria database: a geometry-optimized HPd3Pt structure (PBE). Values from VASP.

```
&SYSTEM
  ibrav = 0, nat = 10, ntyp = 3
/
ATOMIC_SPECIES
Pd 106.42 Pd.upf
Pt 195.08 Pt.upf
H 1.01 H.upf
ATOMIC_POSITIONS crystal
Pd 0.686 0.377 0.623
Pd 0.561 0.128 0.872
Pd 0.816 0.619 0.381
Pd 0.184 0.381 0.619
Pd 0.314 0.623 0.377
Pd 0.439 0.872 0.128
Pt 0.940 0.870 0.130
Pt 0.060 0.130 0.870
H 0.683 0.881 0.119
H 0.317 0.119 0.881
CELL_PARAMETERS angstrom
-15.444 -8.943 0.291
-5.589 -6.339 0.052
7.148 3.732 2.532
```

Values from the calculation:
- Crystal system: monoclinic
- Offset from the most stable computed form: 1.3 meV per atom
- Fermi-level density of states: 12.26 states/eV per cell

3.
Entry from the Alexandria database: a geometry-optimized SiSnO3 structure (PBE). Values from VASP.

```
&SYSTEM
  ibrav = 0, nat = 60, ntyp = 3
/
ATOMIC_SPECIES
O 16.00 O.upf
Sn 118.71 Sn.upf
Si 28.09 Si.upf
ATOMIC_POSITIONS crystal
O 0.304 0.015 0.616
O 0.045 0.573 0.215
O 0.969 0.800 0.649
O 0.031 0.200 0.351
O 0.063 0.351 0.958
O 0.773 0.750 0.250
O 0.748 0.845 0.031
O 0.696 0.515 0.116
O 0.576 0.087 0.836
O 0.722 0.428 0.305
O 0.696 0.985 0.384
O 0.278 0.928 0.805
O 0.227 0.250 0.750
O 0.304 0.485 0.884
O 0.045 0.927 0.285
O 0.063 0.149 0.542
O 0.500 0.500 0.500
O 0.637 0.888 0.605
O 0.363 0.112 0.395
O 0.363 0.388 0.105
O 0.637 0.612 0.895
O 0.424 0.587 0.336
O 0.031 0.300 0.149
O 0.937 0.851 0.458
O 0.252 0.155 0.969
O 0.278 0.572 0.695
O 0.955 0.427 0.785
O 0.969 0.700 0.851
O 0.252 0.345 0.531
O 0.955 0.073 0.715
O 0.722 0.072 0.195
O 0.500 0.000 0.000
O 0.424 0.913 0.164
O 0.748 0.655 0.469
O 0.576 0.413 0.664
O 0.937 0.649 0.042
Sn 0.371 0.593 0.170
Sn 0.677 0.326 0.106
Sn 0.039 0.046 0.178
Sn 0.961 0.546 0.678
Sn 0.039 0.454 0.322
Sn 0.629 0.407 0.830
Sn 0.323 0.674 0.894
Sn 0.629 0.093 0.670
Sn 0.677 0.174 0.394
Sn 0.961 0.954 0.822
Sn 0.323 0.826 0.606
Sn 0.371 0.907 0.330
Si 0.133 0.118 0.656
Si 0.867 0.882 0.344
Si 0.592 0.543 0.400
Si 0.408 0.457 0.600
Si 0.133 0.382 0.844
Si 0.180 0.298 0.046
Si 0.820 0.702 0.954
Si 0.820 0.798 0.546
Si 0.867 0.618 0.156
Si 0.180 0.202 0.454
Si 0.408 0.043 0.900
Si 0.592 0.957 0.100
CELL_PARAMETERS angstrom
7.074 0.000 0.000
0.000 11.613 0.069
0.000 -4.881 11.282
```

Values from the calculation:
- Crystal system: monoclinic
- Fermi-level density of states: 0.00 states/eV per cell
- Energy relative to the elements, uncorrected: -2.172 eV/atom

4.
Entry from the Alexandria database: a geometry-optimized SrBeRh3 structure (PBE). Values from VASP.

```
&SYSTEM
  ibrav = 0, nat = 5, ntyp = 3
/
ATOMIC_SPECIES
Rh 102.91 Rh.upf
Sr 87.62 Sr.upf
Be 9.01 Be.upf
ATOMIC_POSITIONS crystal
Rh 0.500 0.000 0.000
Rh 0.000 0.000 0.500
Rh 0.000 0.500 0.000
Sr 0.500 0.500 0.500
Be 0.000 0.000 0.000
CELL_PARAMETERS angstrom
4.361 0.000 0.000
0.000 4.361 0.000
0.000 0.000 4.361
```

Values from the calculation:
- Crystal system: cubic
- Formation enthalpy at 0 K: -0.1119 eV per atom
- Offset from the most stable computed form: 0.0 meV per atom
- Fermi-level density of states: 4.81 states/eV per cell

5.
Entry from the Alexandria database: a geometry-optimized LaPuGe4 structure (PBE). Values from VASP.

```
&SYSTEM
  ibrav = 0, nat = 6, ntyp = 3
/
ATOMIC_SPECIES
Ge 72.64 Ge.upf
Pu 244.00 Pu.upf
La 138.91 La.upf
ATOMIC_POSITIONS crystal
Ge 0.623 0.623 0.130
Ge 0.623 0.130 0.623
Ge 0.623 0.623 0.623
Ge 0.130 0.623 0.623
Pu 0.250 0.250 0.250
La 0.000 0.000 0.000
CELL_PARAMETERS angstrom
5.667 0.000 0.000
2.833 4.907 0.000
2.833 1.636 4.627
```

Values from the calculation:
- Crystal system: cubic
- Formation enthalpy at 0 K: -0.3883 eV per atom
- Fermi-level density of states: 6.88 states/eV per cell

6.
Entry from the Alexandria database: a geometry-optimized ScMn2BeZn structure (PBE). Values from VASP.

```
&SYSTEM
  ibrav = 0, nat = 5, ntyp = 4
/
ATOMIC_SPECIES
Zn 65.41 Zn.upf
Mn 54.94 Mn.upf
Sc 44.96 Sc.upf
Be 9.01 Be.upf
ATOMIC_POSITIONS crystal
Zn 0.000 0.000 0.000
Mn 0.000 0.000 0.500
Mn 0.500 0.000 0.000
Sc 0.000 0.500 0.000
Be 0.500 0.500 0.500
CELL_PARAMETERS angstrom
4.569 0.000 0.000
0.000 4.877 0.000
0.000 0.000 4.569
```

Values from the calculation:
- Crystal system: tetragonal
- Formation enthalpy at 0 K: 1.0271 eV per atom
- Fermi-level density of states: 5.30 states/eV per cell